The following is a DFT calculation (PBE-GGA) of a relaxed NbPNO2 crystal.

uncorrected formation energy = -0.4332 eV/atom
calculated volume = 66.1 Å³ per cell
E_tot = -7.1775 eV per atom
mass density = 4.3 g cm⁻³

abc: 3.914 3.914 4.311
angles: 90.00 90.00 90.00
Space group P4/mmm (No. 123)
Symmetry-distinct sites (fractional):
Nb  0.000  0.000  0.000 [1 per cell]
P  0.500  0.500  0.500 [1 per cell]
N  0.000  0.000  0.500 [1 per cell]
O  0.000  0.500  0.000 [2 per cell]